one | VASP calculation (PBE) on Al2CdTe after structural relaxation.

The volume is 22.7 Å³ per atom. As for the size of the total moment: 0.000 μB per cell.

The space group is Pmm2 (No. 25) and the conventional cell measures 3.032, 3.804 and 7.875 Å, with angles of 90.00, 90.00 and 90.00 degrees. The asymmetric unit holds Al at (0.000, 0.000, 0.000), Al at (0.500, 0.500, 0.187), Cd at (0.000, 0.000, 0.426) and Te at (0.500, 0.500, 0.743).

two | VASP calculation (PBE) on Al2CdTe after structural relaxation.

The volume is 23.2 Å³ per atom. As for the size of the total moment: 0.000 μB per cell.

The space group is Pmmm (No. 47) and the conventional cell measures 3.936, 4.851 and 4.852 Å, with angles of 90.00, 90.00 and 90.00 degrees. The asymmetric unit holds Al at (0.000, 0.000, 0.000), Al at (0.500, 0.000, 0.500), Cd at (0.000, 0.500, 0.500) and Te at (0.500, 0.500, 0.000).

one is the most stable structure; the next one sits 80 meV/atom above it.